Ac2CrInO5 | PBE with a Hubbard U | optimized geometry

The structure in POSCAR format:
```
Ac2CrInO5
1.0
7.2352 0.0000 0.0000
0.0000 7.2352 0.0000
0.0000 0.0000 5.9082
Ac Cr In O
4 2 2 10
direct
0.1821 0.3179 0.0000
0.3179 0.8179 0.0000
0.6821 0.1821 0.0000
0.8179 0.6821 0.0000
0.0000 0.5000 0.5000
0.5000 0.0000 0.5000
0.0000 0.0000 0.5000
0.5000 0.5000 0.5000
0.0000 0.0000 0.0000
0.1276 0.6276 0.2607
0.1276 0.6276 0.7393
0.3724 0.1276 0.2607
0.3724 0.1276 0.7393
0.5000 0.5000 0.0000
0.6276 0.8724 0.2607
0.6276 0.8724 0.7393
0.8724 0.3724 0.2607
0.8724 0.3724 0.7393
```

- crystal system = tetragonal
- uncorrected energy (eV per atom) = -7.09
- M_tot (μB/f.u.) = 2.99